1.
# Nb2CdTc (GGA-PBE, relaxed)
data_Nb2CdTc
_chemical_formula_sum 'Nb2 Cd1 Tc1'
_symmetry_space_group_name_H-M 'P 1'
_symmetry_Int_Tables_number 1
_cell_length_a 4.628
_cell_length_b 4.628
_cell_length_c 4.628
_cell_angle_alpha 60.00
_cell_angle_beta 60.00
_cell_angle_gamma 60.00
loop_
_symmetry_equiv_pos_as_xyz
'x,y,z'
loop_
_atom_site_label
_atom_site_fract_x
_atom_site_fract_y
_atom_site_fract_z
Nb1 0.000 0.000 0.000
Nb2 0.250 0.250 0.250
Cd1 0.750 0.750 0.750
Tc1 0.500 0.500 0.500
# energy: -30.3 eV for the cell shown

---

2.
# NbCdTc (GGA-PBE, relaxed)
data_NbCdTc
_chemical_formula_sum 'Nb1 Cd1 Tc1'
_symmetry_space_group_name_H-M 'P 1'
_symmetry_Int_Tables_number 1
_cell_length_a 4.437
_cell_length_b 4.437
_cell_length_c 4.437
_cell_angle_alpha 60.00
_cell_angle_beta 60.00
_cell_angle_gamma 60.00
loop_
_symmetry_equiv_pos_as_xyz
'x,y,z'
loop_
_atom_site_label
_atom_site_fract_x
_atom_site_fract_y
_atom_site_fract_z
Nb1 0.000 0.000 0.000
Cd1 0.500 0.500 0.500
Tc1 0.750 0.750 0.750
# energy: -19.3 eV for the cell shown
# energy above the lowest structure with this stoichiometry: 0.000 eV/f.u.